First-principles (PBE-GGA) data for a relaxed structure of PPt2Pb, as listed in the Alexandria database.

The structure in POSCAR format:
```
PPt2Pb
1.0
-1.689 1.348 3.016
-3.912 -2.306 -1.160
0.291 -4.215 2.047
Pb Pt P
1 2 1
direct
0.500 0.500 0.000
0.000 0.199 0.699
0.000 0.801 0.301
0.500 0.000 0.500
```

Results
Calculated volume, Å³/atom: 19.578
Space-group type: Cmmm, No. 65
E, eV/atom: -5.40